An optimized crystal structure of Zr3Zn2Ir, computed with PBE.

Computed properties:
ρ   8.95 g cm⁻³
D(E_F)   3.318 states/eV per cell
Crystal system   trigonal
Electronic total energy   -6.606 eV/atom
Formation energy   -430.7 meV/atom

Unit cell a=4.6991 b=4.6991 c=5.7915 alpha=90.00 beta=90.00 gamma=120.00
Sites, in units of the cell vectors:
Zr1 0.0000 0.0000 0.0000
Zr2 0.3333 0.6667 0.6652
Zr3 0.6667 0.3333 0.3348
Zn1 0.3333 0.6667 0.1642
Zn2 0.6667 0.3333 0.8358
Ir1 0.0000 0.0000 0.5000

An optimized crystal structure of ZrZnIr2, computed with PBE.

Computed properties:
ρ   13.83 g cm⁻³
D(E_F)   6.117 states/eV per cell
Crystal system   trigonal
Electronic total energy   -6.886 eV/atom
Formation energy   -0.2 meV/atom

Unit cell a=9.4730 b=9.4730 c=9.4730 alpha=17.21 beta=17.21 gamma=17.21
Sites, in units of the cell vectors:
Zr1 0.0000 0.0000 0.0000
Zn1 0.2425 0.2425 0.2425
Ir1 0.4990 0.4990 0.4990
Ir2 0.7547 0.7547 0.7547

An optimized crystal structure of ZrZnIr2, computed with PBE.

Computed properties:
ρ   14.10 g cm⁻³
D(E_F)   0.644 states/eV per cell
Crystal system   tetragonal
Electronic total energy   -7.525 eV/atom
Formation energy   -639.5 meV/atom

Unit cell a=4.2307 b=4.2307 c=3.5613 alpha=90.00 beta=90.00 gamma=90.00
Sites, in units of the cell vectors:
Zr1 0.0000 0.0000 0.0000
Zn1 0.5000 0.5000 0.0000
Ir1 0.0000 0.5000 0.5000
Ir2 0.5000 0.0000 0.5000

An optimized crystal structure of Zr6Zn3Ir, computed with PBE.

Computed properties:
ρ   8.01 g cm⁻³
D(E_F)   18.329 states/eV per cell
Polymorph energy (0 for the lowest one)   0.000 eV per atom
Crystal system   monoclinic
Electronic total energy   -6.697 eV/atom
Formation energy   -299.9 meV/atom

Unit cell a=8.1887 b=4.8492 c=10.2404 alpha=90.00 beta=107.36 gamma=90.00
Sites, in units of the cell vectors:
Zr1 0.0450 0.2500 0.4104
Zr2 0.1644 0.7500 0.1807
Zr3 0.2564 0.2500 0.9953
Zr4 0.3403 0.7500 0.8033
Zr5 0.3666 0.2500 0.3193
Zr6 0.4200 0.2500 0.6234
Zr7 0.5800 0.7500 0.3766
Zr8 0.6334 0.7500 0.6807
Zr9 0.6597 0.2500 0.1967
Zr10 0.7436 0.7500 0.0047
Zr11 0.8356 0.2500 0.8193
Zr12 0.9550 0.7500 0.5896
Zn1 0.0255 0.7500 0.8821
Zn2 0.1105 0.2500 0.7034
Zn3 0.2679 0.7500 0.4795
Zn4 0.7321 0.2500 0.5205
Zn5 0.8895 0.7500 0.2966
Zn6 0.9745 0.2500 0.1179
Ir1 0.4515 0.7500 0.0955
Ir2 0.5485 0.2500 0.9045

An optimized crystal structure of Zr2Zn3Ir, computed with PBE.

Computed properties:
ρ   9.25 g cm⁻³
D(E_F)   16.469 states/eV per cell
Crystal system   orthorhombic
Electronic total energy   -5.391 eV/atom
Formation energy   -427.5 meV/atom

Unit cell a=9.7714 b=8.8376 c=7.5033 alpha=72.93 beta=59.84 gamma=47.23
Sites, in units of the cell vectors:
Zr1 0.0037 0.2463 0.0037
Zr2 0.2413 0.5087 0.2413
Zr3 0.2463 0.0037 0.2463
Zr4 0.4913 0.7587 0.4913
Zr5 0.5087 0.2413 0.5087
Zr6 0.7537 0.9963 0.7537
Zr7 0.7587 0.4913 0.7587
Zr8 0.9963 0.7537 0.9963
Zn1 0.0573 0.5282 0.7117
Zn2 0.2028 0.7117 0.5282
Zn3 0.2114 0.2114 0.5386
Zn4 0.2883 0.7972 0.9427
Zn5 0.4614 0.4614 0.7886
Zn6 0.4718 0.9427 0.7972
Zn7 0.5282 0.0573 0.2028
Zn8 0.5386 0.5386 0.2114
Zn9 0.7117 0.2028 0.0573
Zn10 0.7886 0.7886 0.4614
Zn11 0.7972 0.2883 0.4718
Zn12 0.9427 0.4718 0.2883
Ir1 0.0424 0.0424 0.7076
Ir2 0.2924 0.2924 0.9576
Ir3 0.7076 0.7076 0.0424
Ir4 0.9576 0.9576 0.2924

An optimized crystal structure of Zr7Zn2Ir2, computed with PBE.

Computed properties:
ρ   7.76 g cm⁻³
D(E_F)   13.052 states/eV per cell
Crystal system   orthorhombic
Electronic total energy   -7.408 eV/atom
Formation energy   -125.9 meV/atom

Unit cell a=6.2515 b=6.2515 c=6.5579 alpha=90.00 beta=90.00 gamma=105.43
Sites, in units of the cell vectors:
Zr1 0.0000 0.0000 0.0000
Zr2 0.0000 0.5000 0.2671
Zr3 0.0000 0.5000 0.7329
Zr4 0.5000 0.0000 0.2671
Zr5 0.5000 0.0000 0.7329
Zr6 0.5000 0.5000 0.2664
Zr7 0.5000 0.5000 0.7336
Zn1 0.1661 0.1661 0.5000
Zn2 0.8339 0.8339 0.5000
Ir1 0.2798 0.7202 0.0000
Ir2 0.7202 0.2798 0.0000

An optimized crystal structure of ZrZnIr4, computed with PBE.

Computed properties:
ρ   15.41 g cm⁻³
D(E_F)   6.868 states/eV per cell
Crystal system   cubic
Electronic total energy   -7.855 eV/atom
Formation energy   -310.3 meV/atom

Unit cell a=5.2058 b=5.2058 c=5.2058 alpha=60.00 beta=60.00 gamma=60.00
Sites, in units of the cell vectors:
Zr1 0.0000 0.0000 0.0000
Zn1 0.7500 0.7500 0.7500
Ir1 0.3755 0.3755 0.3755
Ir2 0.3755 0.3755 0.8734
Ir3 0.3755 0.8734 0.3755
Ir4 0.8734 0.3755 0.3755

An optimized crystal structure of Zr6Zn5Ir, computed with PBE.

Computed properties:
ρ   7.95 g cm⁻³
D(E_F)   5.168 states/eV per cell
Crystal system   orthorhombic
Electronic total energy   -5.902 eV/atom
Formation energy   -358.2 meV/atom

Unit cell a=7.4760 b=7.4760 c=6.6646 alpha=90.00 beta=90.00 gamma=143.29
Sites, in units of the cell vectors:
Zr1 0.0000 0.0000 0.2484
Zr2 0.0000 0.0000 0.7516
Zr3 0.3353 0.6647 0.2485
Zr4 0.3353 0.6647 0.7515
Zr5 0.6647 0.3353 0.2485
Zr6 0.6647 0.3353 0.7515
Zn1 0.1693 0.8307 0.0000
Zn2 0.1699 0.8301 0.5000
Zn3 0.5000 0.5000 0.5000
Zn4 0.8301 0.1699 0.5000
Zn5 0.8307 0.1693 0.0000
Ir1 0.5000 0.5000 0.0000